Here is crystalline Pr2Dy5YSc at its relaxed geometry from Alexandria. Energies are from PBE.

abc: 8.5150 8.5150 15.9047
angles: 90.00 90.00 90.00
Closest atoms and distances in Å follow each position.
Space group I4/mcm (No. 140)
Asymmetric unit:
Pr 0.1209 0.3791 0.0000  1 Pr 2.91, 2 Dy 3.05
Dy 0.0000 0.0000 0.0000  4 Pr 3.39
Dy 0.2116 0.2884 0.3562  1 Pr 3.05, 1 Sc 3.06
Y 0.0000 0.0000 0.2500  8 Dy 3.48
Sc 0.0000 0.5000 0.2500  4 Dy 3.06

Summary:
**Crystal system**: tetragonal
**ΔH_f (0 K)**: 2.4 eV/f.u.
**Total moment**: 0.0 μB per formula unit



Here is crystalline RbMgMn2Ni at its relaxed geometry from Alexandria. Energies are from PBE.

abc: 4.8131 4.8131 5.3003
angles: 90.00 90.00 90.00
Closest atoms and distances in Å follow each position.
Space group P4/mmm (No. 123)
Asymmetric unit:
Rb 0.0000 0.0000 0.0000  4 Mn 2.41, 2 Mg 2.65
Mg 0.0000 0.0000 0.5000  2 Rb 2.65
Mn 0.0000 0.5000 0.0000  2 Rb 2.41
Ni 0.5000 0.5000 0.5000  4 Mg 3.40, 8 Mn 3.58

Summary:
**Crystal system**: tetragonal
**ΔH_f (0 K)**: 12.0 eV/f.u.
**Total moment**: 7.5 μB per formula unit



Here is crystalline V2Ni4Ir at its relaxed geometry from Alexandria. Energies are from PBE.

abc: 6.8080 6.8080 7.6961
angles: 90.00 90.00 90.00
Closest atoms and distances in Å follow each position.
Space group I4/mcm (No. 140)
Asymmetric unit:
V 0.1539 0.3461 0.0000  6 Ni 2.30-2.41
Ni 0.1469 0.3531 0.3361  3 V 2.30-2.41, 4 Ni 2.39-2.52
Ir 0.0000 0.0000 0.2500  8 Ni 2.69

Summary:
**Crystal system**: tetragonal
**ΔH_f (0 K)**: 0.5 eV/f.u.
**Total moment**: 0.0 μB per formula unit